Compound: TaPN
Source: Alexandria via LeMat-Bulk
Functional: PBE
Structure: relaxed

* Fermi-level density of states: 0.379 states/eV per atom
* space-group type: P-62m (189)
* energy relative to the elements, uncorrected: -130 meV per atom
* spin magnetization: 0.00 μB per cell
* V: 112.6 Å³/cell
* energy: -8.659 eV per atom

a b c (Å): 6.3310 6.3310 3.2444
angles (deg): 90.00 90.00 120.00
Closest atoms and distances in Å follow each position.
Fractional coordinates of all 9 atoms:
Ta  0.0000  0.0000  0.0000  6 N 2.28, 3 P 2.49
Ta  0.3333  0.6667  0.5000  3 N 2.41, 6 P 2.54
Ta  0.6667  0.3333  0.5000  3 N 2.41, 6 P 2.54
P  0.0000  0.3931  0.0000  5 Ta 2.49-2.54, 6 N 2.72-2.77
P  0.3931  0.0000  0.0000  5 Ta 2.49-2.54, 6 N 2.72-2.77
P  0.6069  0.6069  0.0000  5 Ta 2.49-2.54, 6 N 2.72-2.77
N  0.0000  0.7474  0.5000  4 Ta 2.28-2.41
N  0.2526  0.2526  0.5000  4 Ta 2.28-2.41
N  0.7474  0.0000  0.5000  4 Ta 2.28-2.41



Compound: YFeI2
Source: Alexandria via LeMat-Bulk
Functional: PBE
Structure: relaxed

* offset from the most stable computed form: 4.637 kcal/mol of atoms
* Fermi-level density of states: 3.173 states/eV per atom
* space-group type: Fm-3m (225)
* energy relative to the elements, uncorrected: 315 meV per atom
* spin magnetization: 0.00 μB per cell
* V: 380.8 Å³/cell
* energy: -4.192 eV per atom

a b c (Å): 7.2482 7.2482 7.2482
angles (deg): 90.00 90.00 90.00
Closest atoms and distances in Å follow each position.
Fractional coordinates of all 16 atoms:
Y  0.0000  0.0000  0.0000  8 I 3.14
Y  0.0000  0.5000  0.5000  8 I 3.14
Y  0.5000  0.0000  0.5000  8 I 3.14
Y  0.5000  0.5000  0.0000  8 I 3.14
Fe  0.0000  0.0000  0.5000  8 I 3.14
Fe  0.0000  0.5000  0.0000  8 I 3.14
Fe  0.5000  0.0000  0.0000  8 I 3.14
Fe  0.5000  0.5000  0.5000  8 I 3.14
I  0.2500  0.2500  0.2500  4 Fe 3.14, 4 Y 3.14
I  0.2500  0.2500  0.7500  4 Fe 3.14, 4 Y 3.14
I  0.2500  0.7500  0.2500  4 Fe 3.14, 4 Y 3.14
I  0.2500  0.7500  0.7500  4 Fe 3.14, 4 Y 3.14
I  0.7500  0.2500  0.2500  4 Fe 3.14, 4 Y 3.14
I  0.7500  0.2500  0.7500  4 Fe 3.14, 4 Y 3.14
I  0.7500  0.7500  0.2500  4 Fe 3.14, 4 Y 3.14
I  0.7500  0.7500  0.7500  4 Fe 3.14, 4 Y 3.14



Compound: AcCeScGa
Source: Alexandria via LeMat-Bulk
Functional: PBE
Structure: relaxed

* Fermi-level density of states: 2.191 states/eV per atom
* space-group type: F-43m (216)
* spin magnetization: 3.14 μB per cell
* formation enthalpy at 0 K: 0.05 eV per atom
* V: 433.2 Å³/cell
* energy: -4.801 eV per atom

a b c (Å): 7.5663 7.5663 7.5663
angles (deg): 90.00 90.00 90.00
Closest atoms and distances in Å follow each position.
Fractional coordinates of all 16 atoms:
Ac  0.0000  0.0000  0.0000  4 Sc 3.28, 4 Ce 3.28
Ac  0.0000  0.5000  0.5000  4 Sc 3.28, 4 Ce 3.28
Ac  0.5000  0.0000  0.5000  4 Sc 3.28, 4 Ce 3.28
Ac  0.5000  0.5000  0.0000  4 Sc 3.28, 4 Ce 3.28
Ce  0.2500  0.2500  0.7500  4 Ac 3.28, 4 Ga 3.28
Ce  0.2500  0.7500  0.2500  4 Ac 3.28, 4 Ga 3.28
Ce  0.7500  0.2500  0.2500  4 Ac 3.28, 4 Ga 3.28
Ce  0.7500  0.7500  0.7500  4 Ac 3.28, 4 Ga 3.28
Sc  0.2500  0.2500  0.2500  4 Ga 3.28, 4 Ac 3.28
Sc  0.2500  0.7500  0.7500  4 Ac 3.28, 4 Ga 3.28
Sc  0.7500  0.2500  0.7500  4 Ac 3.28, 4 Ga 3.28
Sc  0.7500  0.7500  0.2500  4 Ac 3.28, 4 Ga 3.28
Ga  0.0000  0.0000  0.5000  4 Ce 3.28, 4 Sc 3.28
Ga  0.0000  0.5000  0.0000  4 Ce 3.28, 4 Sc 3.28
Ga  0.5000  0.0000  0.0000  4 Ce 3.28, 4 Sc 3.28
Ga  0.5000  0.5000  0.5000  4 Ce 3.28, 4 Sc 3.28



Compound: Ag3PO6
Source: Alexandria via LeMat-Bulk
Functional: PBE
Structure: relaxed

* Fermi-level density of states: 0.734 states/eV per atom
* space-group type: C2/m (12)
* energy relative to the elements, uncorrected: -542 meV per atom
* spin magnetization: 0.00 μB per cell
* V: 118.3 Å³/cell
* energy: -4.914 eV per atom

a b c (Å): 5.7059 5.7059 4.9605
angles (deg): 110.68 110.68 52.86
Closest atoms and distances in Å follow each position.
Fractional coordinates of all 10 atoms:
Ag  0.0000  0.0000  0.0000  4 O 2.14
Ag  0.2328  0.2328  0.7259  3 O 2.17-2.28
Ag  0.7672  0.7672  0.2741  3 O 2.17-2.28
P  0.5000  0.5000  0.5000  6 O 1.67-1.74
O  0.1823  0.6570  0.6351  1 P 1.74
O  0.3430  0.8177  0.3649  1 P 1.74
O  0.3500  0.3500  0.1986  1 P 1.67
O  0.6500  0.6500  0.8014  1 P 1.67
O  0.6570  0.1823  0.6351  1 P 1.74
O  0.8177  0.3430  0.3649  1 P 1.74



Compound: YHoRh2
Source: Alexandria via LeMat-Bulk
Functional: PBE
Structure: relaxed

* offset from the most stable computed form: 0.048 kcal/mol of atoms
* Fermi-level density of states: 0.470 states/eV per atom
* space-group type: P4/mmm (123)
* spin magnetization: 0.00 μB per cell
* formation enthalpy at 0 K: -0.87 eV per atom
* V: 80.2 Å³/cell
* energy: -7.308 eV per atom

a b c (Å): 4.7770 4.7770 3.5166
angles (deg): 90.00 90.00 90.00
Closest atoms and distances in Å follow each position.
Fractional coordinates of all 4 atoms:
Y  0.0000  0.0000  0.0000  8 Rh 2.97
Ho  0.5000  0.5000  0.0000  8 Rh 2.97
Rh  0.0000  0.5000  0.5000  4 Ho 2.97, 4 Y 2.97
Rh  0.5000  0.0000  0.5000  4 Ho 2.97, 4 Y 2.97



Compound: Er3Si2Rh6
Source: Alexandria via LeMat-Bulk
Functional: PBE
Structure: relaxed

* Fermi-level density of states: 0.688 states/eV per atom
* space-group type: Im-3m (229)
* energy relative to the elements, uncorrected: -838 meV per atom
* spin magnetization: 0.00 μB per cell
* V: 395.0 Å³/cell
* energy: -7.078 eV per atom

a b c (Å): 8.0057 8.0057 8.0057
angles (deg): 109.47 109.47 109.47
Closest atoms and distances in Å follow each position.
Fractional coordinates of all 22 atoms:
Er  0.0000  0.2939  0.2939  8 Rh 2.90-3.09
Er  0.0000  0.7061  0.7061  8 Rh 2.90-3.09
Er  0.2939  0.0000  0.2939  8 Rh 2.90-3.09
Er  0.2939  0.2939  0.0000  8 Rh 2.90-3.09
Er  0.7061  0.0000  0.7061  8 Rh 2.90-3.09
Er  0.7061  0.7061  0.0000  8 Rh 2.90-3.09
Si  0.0000  0.0000  0.5000  6 Rh 2.46
Si  0.0000  0.5000  0.0000  6 Rh 2.46
Si  0.5000  0.0000  0.0000  6 Rh 2.46
Si  0.5000  0.5000  0.5000  6 Rh 2.46
Rh  0.0000  0.3134  0.6866  2 Si 2.46, 4 Rh 2.71
Rh  0.0000  0.6866  0.3134  2 Si 2.46, 4 Rh 2.71
Rh  0.3134  0.0000  0.6866  2 Si 2.46, 4 Rh 2.71
Rh  0.3134  0.3134  0.6269  2 Si 2.46, 4 Rh 2.71
Rh  0.3134  0.6269  0.3134  2 Si 2.46, 4 Rh 2.71
Rh  0.3134  0.6866  0.0000  2 Si 2.46, 4 Rh 2.71
Rh  0.3731  0.6866  0.6866  2 Si 2.46, 4 Rh 2.71
Rh  0.6269  0.3134  0.3134  2 Si 2.46, 4 Rh 2.71
Rh  0.6866  0.0000  0.3134  2 Si 2.46, 4 Rh 2.71
Rh  0.6866  0.3134  0.0000  2 Si 2.46, 4 Rh 2.71
Rh  0.6866  0.3731  0.6866  2 Si 2.46, 4 Rh 2.71
Rh  0.6866  0.6866  0.3731  2 Si 2.46, 4 Rh 2.71